Entry i
3
Lattice="-1.5305 1.5305 4.9922 1.5305 -1.5305 4.9922 1.5305 1.5305 -4.9922" Properties=species:S:1:pos:R:3 comment="PBE TcPAu, relaxed" spacegroup="I4mm, No. 107" magmom_total_mub_per_cell=0.0 pbc="T T T"
Tc 0.0000 0.0000 0.0000
P 0.0000 0.0000 5.9957
Au 0.0000 0.0000 2.9507


Entry ii
3
Lattice="0.0000 2.8795 2.8795 2.8795 0.0000 2.8795 2.8795 2.8795 0.0000" Properties=species:S:1:pos:R:3 comment="PBE TcPAu, relaxed" spacegroup="F-43m, No. 216" magmom_total_mub_per_cell=0.0 pbc="T T T"
Tc 0.0000 0.0000 0.0000
P 4.3192 4.3192 4.3192
Au 2.8795 2.8795 2.8795


Entry iii
3
Lattice="0.0000 2.3707 7.0722 1.5223 0.0000 7.0722 1.5223 2.3707 0.0000" Properties=species:S:1:pos:R:3 comment="PBE TcPAu, relaxed" spacegroup="Fmm2, No. 42" magmom_total_mub_per_cell=0.0 pbc="T T T"
Tc 0.0000 0.0000 0.0000
P 1.5223 2.3707 8.7815
Au 1.5223 2.3707 4.6004


Name the most stable of them. entry i.


Entry i
10
Lattice="6.4769 0.0000 0.0000 0.0000 6.4769 0.0000 0.0000 0.0000 4.2072" Properties=species:S:1:pos:R:3 comment="PBE Ti2PAu2, relaxed" spacegroup="P4/mbm, No. 127" magmom_total_mub_per_cell=0.0 pbc="T T T"
Ti 1.0311 2.2074 0.0000
Ti 2.2074 5.4458 0.0000
Ti 4.2695 1.0311 0.0000
Ti 5.4458 4.2695 0.0000
P 0.0000 0.0000 0.0000
P 3.2384 3.2384 0.0000
Au 0.9571 4.1955 2.1036
Au 2.2813 0.9571 2.1036
Au 4.1955 5.5198 2.1036
Au 5.5198 2.2813 2.1036


Entry ii
5
Lattice="-1.8321 1.8321 6.9346 1.8321 -1.8321 6.9346 1.8321 1.8321 -6.9346" Properties=species:S:1:pos:R:3 comment="PBE Ti2PAu2, relaxed" spacegroup="I4/mmm, No. 139" magmom_total_mub_per_cell=2.7 pbc="T T T"
Ti 0.0000 0.0000 1.2575
Ti 0.0000 0.0000 12.6117
P 0.0000 0.0000 6.9346
Au 1.8321 0.0000 3.4673
Au 0.0000 1.8321 3.4673


Name the most stable of them. entry i.


Entry i
4
Lattice="4.0932 0.0000 0.0000 0.0000 4.1816 0.0000 0.0000 0.0000 5.6022" Properties=species:S:1:pos:R:3 comment="PBE TlPAu2, relaxed" spacegroup="Pmmm, No. 47" magmom_total_mub_per_cell=0.0 pbc="T T T"
Tl 0.0000 0.0000 0.0000
P 0.0000 2.0908 2.8011
Au 2.0466 2.0908 1.3811
Au 2.0466 2.0908 4.2211


Entry ii
4
Lattice="-2.1281 2.1281 4.3566 2.1281 -2.1281 4.3566 2.1281 2.1281 -4.3566" Properties=species:S:1:pos:R:3 comment="PBE TlPAu2, relaxed" spacegroup="I4/mmm, No. 139" magmom_total_mub_per_cell=0.0 pbc="T T T"
Tl 0.0000 0.0000 0.0000
P 0.0000 0.0000 4.3566
Au 2.1281 0.0000 2.1783
Au 0.0000 2.1281 2.1783


Name the most stable of them. entry i.